The following is a DFT calculation (GGA-PBE) of Li2CaCoAg after structural relaxation.

Values from the calculation:
For the energy, the calculation gives -2.690 eV/atom. Its space-group type is P4/mmm, No. 123. The calculated density is 3.25 g cm⁻³. Its magnetic moment is 0.10 μB per atom. The calculated formation energy is 467.0 meV per atom.

POSCAR file:
```
Li2CaCoAg
1.0
4.690 0.000 0.000
0.000 5.125 0.000
0.000 0.000 4.690
Ca Li Co Ag
1 2 1 1
direct
0.000 0.500 0.000
0.500 0.000 0.000
0.000 0.000 0.500
0.000 0.000 0.000
0.500 0.500 0.500
```